This record from Alexandria describes crystalline Be2SiPt2 at its relaxed geometry. The functional is PBE-GGA.

Cell lengths 3.1731, 3.1731, 6.6589 Å; angles 76.22, 76.22, 90.00 degrees
With the nearest neighbours (Å) after each atom.
Positions (direct):
Be  0.2500  0.7500  0.5000  4 Be 2.24, 4 Pt 2.36
Be  0.7500  0.2500  0.5000  4 Be 2.24, 4 Pt 2.36
Pt  0.6105  0.6105  0.7790  4 Be 2.36, 4 Si 2.64
Pt  0.3895  0.3895  0.2210  4 Be 2.36, 4 Si 2.64
Si  0.0000  0.0000  0.0000  8 Pt 2.64

- Energy relative to the elements, uncorrected: -2.44 eV per formula unit
- Symmetry: No. 139

---

This record from Alexandria describes crystalline BeSi3Pt at its relaxed geometry. The functional is PBE-GGA.

Cell lengths 4.2137, 4.2137, 4.2137 Å; angles 90.00, 90.00, 90.00 degrees
With the nearest neighbours (Å) after each atom.
Positions (direct):
Pt  0.5000  0.5000  0.5000  12 Si 2.98
Si  0.5000  0.0000  0.0000  2 Be 2.11
Si  0.0000  0.0000  0.5000  2 Be 2.11
Si  0.0000  0.5000  0.0000  2 Be 2.11
Be  0.0000  0.0000  0.0000  6 Si 2.11

- Energy relative to the elements, uncorrected: 2.94 eV per formula unit
- Symmetry: No. 221

---

This record from Alexandria describes crystalline Be4SiPt2 at its relaxed geometry. The functional is PBE-GGA.

Cell lengths 4.0373, 4.0373, 6.5504 Å; angles 72.05, 72.05, 90.00 degrees
With the nearest neighbours (Å) after each atom.
Positions (direct):
Be  0.1913  0.1913  0.6174  1 Pt 2.20, 1 Si 2.26
Be  0.0000  0.5000  0.0000  2 Si 2.02
Be  0.8087  0.8087  0.3826  1 Pt 2.20, 1 Si 2.26
Be  0.5000  0.0000  0.0000  2 Si 2.02
Si  0.0000  0.0000  0.0000  6 Be 2.02-2.26
Pt  0.3778  0.3778  0.2444  1 Be 2.20
Pt  0.6222  0.6222  0.7556  1 Be 2.20

- Energy relative to the elements, uncorrected: 2.45 eV per formula unit
- Symmetry: No. 139

---

This record from Alexandria describes crystalline BeSi2Pt at its relaxed geometry. The functional is PBE-GGA.

Cell lengths 4.5723, 4.5723, 4.5723 Å; angles 131.40, 131.40, 71.18 degrees
With the nearest neighbours (Å) after each atom.
Positions (direct):
Si  0.2500  0.7500  0.5000  4 Be 2.65, 4 Si 2.65, 4 Pt 2.66
Si  0.0000  0.0000  0.0000  4 Si 2.65, 4 Pt 2.65, 4 Be 2.66
Pt  0.7500  0.2500  0.5000  4 Be 2.65, 8 Si 2.65-2.66
Be  0.5000  0.5000  0.0000  4 Pt 2.65, 8 Si 2.65-2.66

- Energy relative to the elements, uncorrected: 0.15 eV per formula unit
- Symmetry: No. 119